1.
Density functional theory data (PBE) for NaSn2Bi after structural relaxation.

**Total energy**: -3.355 eV/atom
**Space-group type**: P2_1/m (11)

Cell: 4.178 5.972 10.739 Å, 90.00 90.00 110.40°
Fractional coordinates of all 8 atoms:
Na1 0.942 0.884 0.250
Na2 0.058 0.116 0.750
Bi1 0.777 0.557 0.750
Bi2 0.223 0.443 0.250
Sn1 0.646 0.291 0.028
Sn2 0.354 0.709 0.528
Sn3 0.646 0.291 0.472
Sn4 0.354 0.709 0.972

=====

2.
Density functional theory data (PBE) for Na2HfAu2 after structural relaxation.

**Total energy**: -3.878 eV/atom
**Space-group type**: P4/mbm (127)

Cell: 7.146 7.146 4.544 Å, 90.00 90.00 90.00°
Fractional coordinates of all 10 atoms:
Na1 0.163 0.663 0.500
Na2 0.663 0.837 0.500
Na3 0.337 0.163 0.500
Na4 0.837 0.337 0.500
Au1 0.639 0.139 0.000
Au2 0.361 0.861 0.000
Au3 0.139 0.361 0.000
Au4 0.861 0.639 0.000
Hf1 0.500 0.500 0.000
Hf2 0.000 0.000 0.000